Here is CaLaY2 after structural relaxation from Alexandria via LeMat-Bulk. Energies are from PBE-GGA.

The structure in CIF format:
```
data_CaLaY2
_symmetry_space_group_name_H-M 'C m m m'
_symmetry_Int_Tables_number 65
_symmetry_space_group_name_Hall '-C 2 2'
_cell_length_a 7.336
_cell_length_b 10.380
_cell_length_c 3.678
_cell_angle_alpha 90.00
_cell_angle_beta 90.00
_cell_angle_gamma 90.00
loop_
_atom_site_label
_atom_site_type_symbol
_atom_site_fract_x
_atom_site_fract_y
_atom_site_fract_z
Ca1 Ca 0.000 0.000 0.000
La1 La 0.000 0.500 0.000
Y1 Y 0.250 0.250 0.500
```

Results
For the density, the calculation gives 4231 kg/m³. For the distance to the lowest polymorph of the same formula, the calculation gives 24 meV per atom. The final energy comes out at -4.884 eV per atom.